A relaxed structure of Rb2HgSb2, computed with GGA-PBE.

Cell lengths 12.463, 5.557, 12.400 Å; angles 90.00, 118.61, 90.00 degrees
Space group C2/m (No. 12)
Unique sites:
Rb (0.081, 0.000, 0.390) (multiplicity 4)
Rb (0.179, 0.500, 0.185) (multiplicity 4)
Hg (0.137, 0.500, 0.852) (multiplicity 4)
Sb (0.091, 0.000, 0.955) (multiplicity 4)
Sb (0.119, 0.500, 0.607) (multiplicity 4)

Output
The uncorrected formation energy comes out at -0.3351 eV/atom. Its size of the total moment is 0.00 μB/cell. For the uncorrected energy, the calculation gives -48.6 eV for the cell shown. The distance to the lowest polymorph of the same formula is 0.000 eV/atom.